No. 1
## InAg2Cl (SCAN)

Data for InAg2Cl at its PBEsol-relaxed geometry.

The space group is C2/m (No. 12) and the conventional cell measures 5.814, 10.053 and 3.321 Å, with angles of 90.00, 124.73 and 90.00 degrees. Symmetry generates all atoms from In at (0.000, 0.000, 0.000), Ag at (0.250, 0.250, 0.000) and Cl at (0.000, 0.500, 0.000).

The calculation puts the final energy at -26.1323 eV/atom. As for the density of states at the Fermi level: 1.21 states/eV per cell. For the uncorrected formation energy, the calculation gives -0.108 eV per atom.



No. 2
## TiGa2Pt (SCAN)

Data for TiGa2Pt at its PBEsol-relaxed geometry.

The space group is Fm-3m (No. 225) and the conventional cell measures 6.200, 6.200 and 6.200 Å, with angles of 90.00, 90.00 and 90.00 degrees. Symmetry generates all atoms from Ti at (0.000, 0.000, 0.000), Ga at (0.250, 0.250, 0.250) and Pt at (0.000, 0.000, 0.500).

The calculation puts the final energy at -30.3246 eV/atom. As for the formation energy: -0.60 eV/atom. As for the density of states at the Fermi level: 10.00 states/eV per cell.



No. 3
## Sc2MnReSi (SCAN)

Data for Sc2MnReSi at its PBEsol-relaxed geometry.

The space group is P4/mmm (No. 123) and the conventional cell measures 4.862, 4.862 and 4.418 Å, with angles of 90.00, 90.00 and 90.00 degrees. Symmetry generates all atoms from Sc at (0.000, 0.500, 0.000), Mn at (0.000, 0.000, 0.500), Re at (0.500, 0.500, 0.500) and Si at (0.500, 0.500, 0.000).

The calculation puts the final energy at -25.2192 eV/atom. As for the density of states at the Fermi level: 3.70 states/eV per cell. For the uncorrected formation energy, the calculation gives 0.349 eV per atom.